Record 1
An optimized crystal structure of ZrAlNi2, computed with PBE-GGA.

Lattice parameters (Å, degrees): 4.846 4.846 4.846 136.09 130.47 68.32
Positions (direct):
Ni: 0.009 0.009 0.000
Ni: 0.752 0.252 0.500
Al: 0.239 0.739 0.500
Zr: 0.500 0.500 0.000

Space-group type: No. 44
Mass density in g cm⁻³: 6.6
Energy of formation in eV/atom: -0.357

Record 2
An optimized crystal structure of ZrAlNi2, computed with PBE-GGA.

Lattice parameters (Å, degrees): 3.056 3.056 6.291 90.00 90.00 90.00
Positions (direct):
Ni: 0.000 0.000 0.999
Ni: 0.500 0.500 0.215
Al: 0.500 0.500 0.813
Zr: 0.000 0.000 0.474

Space-group type: No. 99
Mass density in g cm⁻³: 6.7
Energy of formation in eV/atom: -0.348

Record 3
An optimized crystal structure of ZrAlNi2, computed with PBE-GGA.

Lattice parameters (Å, degrees): 5.363 5.363 6.743 90.00 90.00 142.40
Positions (direct):
Zr: 0.547 0.453 0.250
Zr: 0.453 0.547 0.750
Al: 0.731 0.269 0.750
Al: 0.269 0.731 0.250
Ni: 0.872 0.128 0.052
Ni: 0.128 0.872 0.552
Ni: 0.872 0.128 0.448
Ni: 0.128 0.872 0.948

Space-group type: No. 63
Mass density in g cm⁻³: 6.6
Energy of formation in eV/atom: -0.515

Record 4
An optimized crystal structure of Zr2AlNi, computed with PBE-GGA.

Lattice parameters (Å, degrees): 3.979 5.741 6.710 90.00 90.00 90.00
Positions (direct):
Zr: 0.500 0.000 0.000
Zr: 0.500 0.500 0.000
Zr: 0.500 0.250 0.426
Zr: 0.500 0.750 0.574
Al: 0.000 0.250 0.749
Al: 0.000 0.750 0.251
Ni: 0.000 0.250 0.160
Ni: 0.000 0.750 0.840

Space-group type: No. 51
Mass density in g cm⁻³: 5.8
Energy of formation in eV/atom: -0.103